# 1
The following is a GGA-PBE calculation of crystalline CeHoTm2Ru4 at its relaxed geometry, from Alexandria via LeMat-Bulk.

magnetic moment	0.00	μB per cell
energy of formation	-0.44	eV per atom
electronic total energy	-60.08	eV per formula unit

Cell: 8.2167 8.2167 8.2167 Å, 34.05 34.05 34.05°
Last column: nearest neighbours and their distance in Å.
Element x y z (fractional)
Ce  0.0000  0.0000  0.0000  8 Ru 2.81-2.92
Ho  0.5000  0.5000  0.5000  8 Ru 2.95-2.97
Tm  0.2473  0.2473  0.2473  8 Ru 2.89-2.98
Tm  0.7527  0.7527  0.7527  8 Ru 2.89-2.98
Ru  0.1211  0.1211  0.1211  1 Ce 2.81, 4 Tm 2.89-2.93, 3 Ho 2.97
Ru  0.3726  0.3726  0.3726  4 Tm 2.91-2.98, 3 Ce 2.92, 1 Ho 2.95
Ru  0.6274  0.6274  0.6274  4 Tm 2.91-2.98, 3 Ce 2.92, 1 Ho 2.95
Ru  0.8789  0.8789  0.8789  1 Ce 2.81, 4 Tm 2.89-2.93, 3 Ho 2.97


# 2
The following is a GGA-PBE calculation of crystalline Ce6HoS8 at its relaxed geometry, from Alexandria via LeMat-Bulk.

magnetic moment	5.53	μB per cell
electronic total energy	-103.70	eV per formula unit
formation energy (no corrections)	-2.03	eV/atom

Cell: 8.0286 8.0286 8.0286 Å, 60.00 60.00 60.00°
Last column: nearest neighbours and their distance in Å.
Element x y z (fractional)
Ce  0.0000  0.0000  0.5000  6 S 2.84
Ce  0.0000  0.5000  0.0000  6 S 2.84
Ce  0.0000  0.5000  0.5000  6 S 2.84
Ce  0.5000  0.0000  0.0000  6 S 2.84
Ce  0.5000  0.0000  0.5000  6 S 2.84
Ce  0.5000  0.5000  0.0000  6 S 2.84
Ho  0.0000  0.0000  0.0000  6 S 2.76
S  0.2435  0.2435  0.7565  1 Ho 2.76, 4 Ce 2.84
S  0.2435  0.7565  0.2435  1 Ho 2.76, 4 Ce 2.84
S  0.2435  0.7565  0.7565  1 Ho 2.76, 4 Ce 2.84
S  0.2500  0.2500  0.2500  6 Ce 2.84
S  0.7500  0.7500  0.7500  6 Ce 2.84
S  0.7565  0.2435  0.2435  1 Ho 2.76, 4 Ce 2.84
S  0.7565  0.2435  0.7565  1 Ho 2.76, 4 Ce 2.84
S  0.7565  0.7565  0.2435  1 Ho 2.76, 4 Ce 2.84


# 3
The following is a GGA-PBE calculation of crystalline Ce3HoS at its relaxed geometry, from Alexandria via LeMat-Bulk.

magnetic moment	1.97	μB per cell
electronic total energy	-29.24	eV per formula unit
formation energy (no corrections)	-0.55	eV/atom

Cell: 5.3631 5.3631 5.3631 Å, 90.00 90.00 90.00°
Last column: nearest neighbours and their distance in Å.
Element x y z (fractional)
Ce  0.0000  0.0000  0.5000  2 S 2.68
Ce  0.0000  0.5000  0.0000  2 S 2.68
Ce  0.5000  0.0000  0.0000  2 S 2.68
Ho  0.5000  0.5000  0.5000  12 Ce 3.79
S  0.0000  0.0000  0.0000  6 Ce 2.68


# 4
The following is a GGA-PBE calculation of crystalline Ce5Ho3S8 at its relaxed geometry, from Alexandria via LeMat-Bulk.

magnetic moment	2.77	μB per cell
electronic total energy	-108.86	eV per formula unit
formation energy (no corrections)	-2.03	eV/atom

Cell: 7.9587 7.9587 7.9587 Å, 59.68 59.68 59.68°
Last column: nearest neighbours and their distance in Å.
Element x y z (fractional)
Ce  0.0000  0.0000  0.0000  6 S 2.81
Ce  0.0000  0.5000  0.5000  6 S 2.86
Ce  0.5000  0.0000  0.5000  6 S 2.86
Ce  0.5000  0.5000  0.0000  6 S 2.86
Ce  0.5000  0.5000  0.5000  6 S 2.81
Ho  0.0000  0.0000  0.5000  6 S 2.75-2.76
Ho  0.0000  0.5000  0.0000  6 S 2.75-2.76
Ho  0.5000  0.0000  0.0000  6 S 2.75-2.76
S  0.2407  0.7499  0.7499  2 Ho 2.75, 4 Ce 2.81-2.86
S  0.2456  0.2456  0.2456  3 Ho 2.76, 3 Ce 2.86
S  0.2501  0.2501  0.7593  2 Ho 2.75, 4 Ce 2.81-2.86
S  0.2501  0.7593  0.2501  2 Ho 2.75, 4 Ce 2.81-2.86
S  0.7499  0.2407  0.7499  2 Ho 2.75, 4 Ce 2.81-2.86
S  0.7499  0.7499  0.2407  2 Ho 2.75, 4 Ce 2.81-2.86
S  0.7544  0.7544  0.7544  3 Ho 2.76, 3 Ce 2.86
S  0.7593  0.2501  0.2501  2 Ho 2.75, 4 Ce 2.81-2.86


# 5
The following is a GGA-PBE calculation of crystalline CeHo5S6 at its relaxed geometry, from Alexandria via LeMat-Bulk.

magnetic moment	0.62	μB per cell
electronic total energy	-77.45	eV per formula unit
formation energy (no corrections)	-1.99	eV/atom

Cell: 6.7728 6.7728 6.7662 Å, 99.67 99.67 120.09°
Last column: nearest neighbours and their distance in Å.
Element x y z (fractional)
Ce  0.0000  0.0000  0.0000  6 S 2.81
Ho  0.1659  0.8341  0.5000  6 S 2.72-2.77
Ho  0.3330  0.6670  0.0000  6 S 2.76
Ho  0.5000  0.5000  0.5000  6 S 2.72-2.76
Ho  0.6670  0.3330  0.0000  6 S 2.76
Ho  0.8341  0.1659  0.5000  6 S 2.72-2.77
S  0.0848  0.4245  0.2543  5 Ho 2.72-2.77, 1 Ce 2.81
S  0.2554  0.2554  0.7466  5 Ho 2.72-2.76, 1 Ce 2.81
S  0.4245  0.0848  0.2543  5 Ho 2.72-2.77, 1 Ce 2.81
S  0.5755  0.9152  0.7457  5 Ho 2.72-2.77, 1 Ce 2.81
S  0.7446  0.7446  0.2534  5 Ho 2.72-2.76, 1 Ce 2.81
S  0.9152  0.5755  0.7457  5 Ho 2.72-2.77, 1 Ce 2.81


# 6
The following is a GGA-PBE calculation of crystalline Ce3Ho5S8 at its relaxed geometry, from Alexandria via LeMat-Bulk.

magnetic moment	1.70	μB per cell
electronic total energy	-105.86	eV per formula unit
formation energy (no corrections)	-2.01	eV/atom

Cell: 7.8915 7.8915 7.8915 Å, 59.66 59.66 59.66°
Last column: nearest neighbours and their distance in Å.
Element x y z (fractional)
Ce  0.0000  0.5000  0.5000  6 S 2.83
Ce  0.5000  0.0000  0.5000  6 S 2.83
Ce  0.5000  0.5000  0.0000  6 S 2.83
Ho  0.0000  0.0000  0.0000  6 S 2.79
Ho  0.0000  0.0000  0.5000  6 S 2.73-2.74
Ho  0.0000  0.5000  0.0000  6 S 2.73-2.74
Ho  0.5000  0.0000  0.0000  6 S 2.73-2.74
Ho  0.5000  0.5000  0.5000  6 S 2.78
S  0.2417  0.7499  0.7499  4 Ho 2.74-2.79, 2 Ce 2.83
S  0.2456  0.2456  0.2456  3 Ho 2.73, 3 Ce 2.83
S  0.2501  0.2501  0.7583  4 Ho 2.74-2.79, 2 Ce 2.83
S  0.2501  0.7583  0.2501  4 Ho 2.74-2.79, 2 Ce 2.83
S  0.7499  0.2417  0.7499  4 Ho 2.74-2.79, 2 Ce 2.83
S  0.7499  0.7499  0.2417  4 Ho 2.74-2.79, 2 Ce 2.83
S  0.7544  0.7544  0.7544  3 Ho 2.73, 3 Ce 2.83
S  0.7583  0.2501  0.2501  4 Ho 2.74-2.79, 2 Ce 2.83


# 7
The following is a GGA-PBE calculation of crystalline CeHoS4 at its relaxed geometry, from Alexandria via LeMat-Bulk.

magnetic moment	0.14	μB per cell
electronic total energy	-35.67	eV per formula unit
formation energy (no corrections)	-1.44	eV/atom
energy above the most stable polymorph in this dataset	0.90	eV per formula unit

Cell: 4.4000 4.4000 7.1691 Å, 90.00 90.00 90.00°
Last column: nearest neighbours and their distance in Å.
Element x y z (fractional)
Ce  0.0000  0.0000  0.0000  8 S 2.84
Ho  0.0000  0.0000  0.5000  8 S 2.83
S  0.0000  0.5000  0.2508  2 Ho 2.83, 2 Ce 2.84, 4 S 3.11
S  0.0000  0.5000  0.7492  2 Ho 2.83, 2 Ce 2.84, 4 S 3.11
S  0.5000  0.0000  0.2508  2 Ho 2.83, 2 Ce 2.84, 4 S 3.11
S  0.5000  0.0000  0.7492  2 Ho 2.83, 2 Ce 2.84, 4 S 3.11


# 8
The following is a GGA-PBE calculation of crystalline Ce5HoS6 at its relaxed geometry, from Alexandria via LeMat-Bulk.

magnetic moment	2.60	μB per cell
electronic total energy	-83.44	eV per formula unit
formation energy (no corrections)	-2.04	eV/atom

Cell: 6.9218 6.9218 6.9194 Å, 99.61 99.61 120.01°
Last column: nearest neighbours and their distance in Å.
Element x y z (fractional)
Ce  0.0000  0.0000  0.0000  6 S 2.83-2.88
Ce  0.1663  0.8337  0.5000  6 S 2.83
Ce  0.3315  0.6685  0.0000  6 S 2.83-2.87
Ce  0.6685  0.3315  0.0000  6 S 2.83-2.87
Ce  0.8337  0.1663  0.5000  6 S 2.83
Ho  0.5000  0.5000  0.5000  6 S 2.77
S  0.0922  0.4188  0.2556  1 Ho 2.77, 5 Ce 2.83-2.87
S  0.2561  0.2561  0.7470  1 Ho 2.77, 5 Ce 2.83-2.88
S  0.4188  0.0922  0.2556  1 Ho 2.77, 5 Ce 2.83-2.87
S  0.5812  0.9078  0.7444  1 Ho 2.77, 5 Ce 2.83-2.87
S  0.7439  0.7439  0.2530  1 Ho 2.77, 5 Ce 2.83-2.88
S  0.9078  0.5812  0.7444  1 Ho 2.77, 5 Ce 2.83-2.87


# 9
The following is a GGA-PBE calculation of crystalline Ce6HoS12 at its relaxed geometry, from Alexandria via LeMat-Bulk.

magnetic moment	3.13	μB per cell
electronic total energy	-126.34	eV per formula unit
formation energy (no corrections)	-1.93	eV/atom

Cell: 8.0228 8.0228 8.0228 Å, 99.65 99.65 99.65°
Last column: nearest neighbours and their distance in Å.
Element x y z (fractional)
Ce  0.1186  0.6351  0.8006  7 S 2.76-3.03
Ce  0.1994  0.8814  0.3649  7 S 2.76-3.03
Ce  0.3649  0.1994  0.8814  7 S 2.76-3.03
Ce  0.6351  0.8006  0.1186  7 S 2.76-3.03
Ce  0.8006  0.1186  0.6351  7 S 2.76-3.03
Ce  0.8814  0.3649  0.1994  7 S 2.76-3.03
Ho  0.5000  0.5000  0.5000  6 S 2.68
S  0.0672  0.3226  0.9187  4 Ce 2.78-2.91
S  0.0813  0.9328  0.6774  4 Ce 2.78-2.91
S  0.1762  0.5540  0.4345  1 Ho 2.68, 2 Ce 2.76-2.79
S  0.3226  0.9187  0.0672  4 Ce 2.78-2.91
S  0.4345  0.1762  0.5540  1 Ho 2.68, 2 Ce 2.76-2.79
S  0.4460  0.5655  0.8238  1 Ho 2.68, 2 Ce 2.76-2.79
S  0.5540  0.4345  0.1762  1 Ho 2.68, 2 Ce 2.76-2.79
S  0.5655  0.8238  0.4460  1 Ho 2.68, 2 Ce 2.76-2.79
S  0.6774  0.0813  0.9328  4 Ce 2.78-2.91
S  0.8238  0.4460  0.5655  1 Ho 2.68, 2 Ce 2.76-2.79
S  0.9187  0.0672  0.3226  4 Ce 2.78-2.91
S  0.9328  0.6774  0.0813  4 Ce 2.78-2.91


# 10
The following is a GGA-PBE calculation of crystalline CeHo2S4 at its relaxed geometry, from Alexandria via LeMat-Bulk.

magnetic moment	2.61	μB per cell
electronic total energy	-46.02	eV per formula unit
formation energy (no corrections)	-2.06	eV/atom

Cell: 6.7324 6.7324 13.1416 Å, 90.00 90.00 146.53°
Last column: nearest neighbours and their distance in Å.
Element x y z (fractional)
Ce  0.1207  0.8793  0.7500  6 S 2.84-2.93
Ce  0.8793  0.1207  0.2500  6 S 2.84-2.93
Ho  0.3686  0.6314  0.5665  6 S 2.68-2.75
Ho  0.3686  0.6314  0.9335  6 S 2.68-2.75
Ho  0.6314  0.3686  0.0665  6 S 2.68-2.75
Ho  0.6314  0.3686  0.4335  6 S 2.68-2.75
S  0.0000  0.0000  0.0000  4 Ho 2.72
S  0.0000  0.0000  0.5000  4 Ho 2.72
S  0.2720  0.7280  0.1201  3 Ho 2.75, 2 Ce 2.93
S  0.2720  0.7280  0.3799  3 Ho 2.75, 2 Ce 2.93
S  0.4595  0.5405  0.7500  2 Ho 2.68, 2 Ce 2.84
S  0.5405  0.4595  0.2500  2 Ho 2.68, 2 Ce 2.84
S  0.7280  0.2720  0.6201  3 Ho 2.75, 2 Ce 2.93
S  0.7280  0.2720  0.8799  3 Ho 2.75, 2 Ce 2.93


# 11
The following is a GGA-PBE calculation of crystalline CeHo3S4 at its relaxed geometry, from Alexandria via LeMat-Bulk.

magnetic moment	0.67	μB per cell
electronic total energy	-52.14	eV per formula unit
formation energy (no corrections)	-2.00	eV/atom
energy above the most stable polymorph in this dataset	0.00	eV per formula unit

Cell: 6.8010 6.8010 3.8969 Å, 90.00 90.00 109.21°
Last column: nearest neighbours and their distance in Å.
Element x y z (fractional)
Ce  0.0000  0.0000  0.0000  6 S 2.82
Ho  0.0000  0.5000  0.5000  6 S 2.77
Ho  0.5000  0.0000  0.5000  6 S 2.77
Ho  0.5000  0.5000  0.0000  6 S 2.72-2.73
S  0.2541  0.7459  0.0000  5 Ho 2.73-2.77, 1 Ce 2.82
S  0.2586  0.2586  0.5000  4 Ho 2.72-2.77, 2 Ce 2.82
S  0.7414  0.7414  0.5000  4 Ho 2.72-2.77, 2 Ce 2.82
S  0.7459  0.2541  0.0000  5 Ho 2.73-2.77, 1 Ce 2.82